# 1
First-principles (GGA-PBE) data for crystalline PaSnN at its relaxed geometry, as listed in Alexandria via LeMat-Bulk.

Cell lengths 4.0424, 4.0424, 27.1808 Å; angles 90.00, 90.00, 120.00 degrees
Space group R-3m (No. 166, hexagonal axes)
Unique sites:
Pa 0.0000 0.0000 0.1181 (multiplicity 6)
Sn 0.0000 0.0000 0.3626 (multiplicity 6)
N 0.0000 0.0000 0.1980 (multiplicity 6)

Summary:
Crystal system ... trigonal
Density of states at the Fermi level ... 2.24 states/eV/f.u.
Formation energy without anion corrections ... -943.8 meV per atom
Polymorph energy (0 for the lowest one) ... 0.360 eV per formula unit
Density ... 9.4 g cm⁻³

=====

# 2
First-principles (GGA-PBE) data for crystalline SrPa4Sn3N12 at its relaxed geometry, as listed in Alexandria via LeMat-Bulk.

Cell lengths 8.4383, 8.4383, 8.4383 Å; angles 90.00, 90.00, 90.00 degrees
Space group Im-3 (No. 204)
Unique sites:
Sr 0.0000 0.0000 0.0000 (multiplicity 2)
Pa 0.2500 0.2500 0.2500 (multiplicity 8)
Sn 0.0000 0.0000 0.5000 (multiplicity 6)
N 0.0000 0.1711 0.3135 (multiplicity 24)

Summary:
Crystal system ... cubic
Density of states at the Fermi level ... 18.32 states/eV/f.u.
Formation energy without anion corrections ... -627.4 meV per atom
Density ... 8.5 g cm⁻³

=====

# 3
First-principles (GGA-PBE) data for crystalline Sr2PaSnN4 at its relaxed geometry, as listed in Alexandria via LeMat-Bulk.

Cell lengths 6.2043, 3.6230, 6.3446 Å; angles 90.00, 109.82, 90.00 degrees
Space group P2/m (No. 10)
Unique sites:
Sr 0.0000 0.0000 0.0000 (multiplicity 1)
Sr 0.5000 0.5000 0.0000 (multiplicity 1)
Pa 0.0000 0.5000 0.5000 (multiplicity 1)
Sn 0.5000 0.0000 0.5000 (multiplicity 1)
N 0.2133 0.0000 0.7108 (multiplicity 2)
N 0.2389 0.5000 0.2905 (multiplicity 2)

Summary:
Crystal system ... monoclinic
Density of states at the Fermi level ... 3.51 states/eV/f.u.
Formation energy without anion corrections ... -782.4 meV per atom
Density ... 7.2 g cm⁻³

=====

# 4
First-principles (GGA-PBE) data for crystalline Sr3Pa3SnN8 at its relaxed geometry, as listed in Alexandria via LeMat-Bulk.

Cell lengths 7.1181, 7.1181, 17.9688 Å; angles 90.00, 90.00, 120.00 degrees
Space group R-3m (No. 166, hexagonal axes)
Unique sites:
Sr 0.0000 0.5000 0.0000 (multiplicity 9)
Pa 0.0000 0.5000 0.5000 (multiplicity 9)
Sn 0.0000 0.0000 0.5000 (multiplicity 3)
N 0.0000 0.0000 0.2360 (multiplicity 6)
N 0.0119 0.5060 0.7711 (multiplicity 18)

Summary:
Crystal system ... trigonal
Density of states at the Fermi level ... 2.25 states/eV/f.u.
Formation energy without anion corrections ... -1041.0 meV per atom
Density ... 7.5 g cm⁻³

=====

# 5
First-principles (GGA-PBE) data for crystalline Pa2TaSnN6 at its relaxed geometry, as listed in Alexandria via LeMat-Bulk.

Cell lengths 5.3604, 5.3604, 5.1473 Å; angles 90.00, 90.00, 90.00 degrees
Space group P4mm (No. 99)
Unique sites:
Pa 0.0000 0.5000 0.0000 (multiplicity 2)
Ta 0.0000 0.0000 0.5916 (multiplicity 1)
Sn 0.5000 0.5000 0.5704 (multiplicity 1)
N 0.0000 0.0000 0.2176 (multiplicity 1)
N 0.2456 0.2456 0.7530 (multiplicity 4)
N 0.5000 0.5000 0.1777 (multiplicity 1)

Summary:
Crystal system ... tetragonal
Density of states at the Fermi level ... 5.60 states/eV/f.u.
Formation energy without anion corrections ... -815.3 meV per atom
Density ... 9.5 g cm⁻³

=====

# 6
First-principles (GGA-PBE) data for crystalline PaSnTeN at its relaxed geometry, as listed in Alexandria via LeMat-Bulk.

Cell lengths 3.9945, 3.9945, 13.4611 Å; angles 90.00, 90.00, 90.00 degrees
Space group P4/nmm (No. 129, origin choice 2)
Unique sites:
Pa 0.2500 0.2500 0.0859 (multiplicity 2)
Sn 0.2500 0.7500 0.5000 (multiplicity 2)
Te 0.2500 0.2500 0.7866 (multiplicity 2)
N 0.2500 0.7500 0.0000 (multiplicity 2)

Summary:
Crystal system ... tetragonal
Density of states at the Fermi level ... 1.14 states/eV/f.u.
Formation energy without anion corrections ... -1005.3 meV per atom
Density ... 7.6 g cm⁻³

=====

# 7
First-principles (GGA-PBE) data for crystalline PaSnTe2N at its relaxed geometry, as listed in Alexandria via LeMat-Bulk.

Cell lengths 3.9630, 3.9630, 18.2419 Å; angles 90.00, 90.00, 90.00 degrees
Space group P4/nmm (No. 129, origin choice 2)
Unique sites:
Pa 0.2500 0.2500 0.0642 (multiplicity 2)
Sn 0.2500 0.2500 0.6558 (multiplicity 2)
Te 0.2500 0.2500 0.4133 (multiplicity 2)
Te 0.2500 0.2500 0.8413 (multiplicity 2)
N 0.2500 0.7500 0.0000 (multiplicity 2)

Summary:
Crystal system ... tetragonal
Density of states at the Fermi level ... 2.25 states/eV/f.u.
Formation energy without anion corrections ... -949.4 meV per atom
Density ... 7.2 g cm⁻³

=====

# 8
First-principles (GGA-PBE) data for crystalline PaZnSnN at its relaxed geometry, as listed in Alexandria via LeMat-Bulk.

Cell lengths 4.0478, 4.0478, 9.3078 Å; angles 90.00, 90.00, 90.00 degrees
Space group P4/nmm (No. 129, origin choice 2)
Unique sites:
Pa 0.2500 0.2500 0.1215 (multiplicity 2)
Zn 0.2500 0.7500 0.5000 (multiplicity 2)
Sn 0.2500 0.2500 0.6987 (multiplicity 2)
N 0.2500 0.7500 0.0000 (multiplicity 2)

Summary:
Crystal system ... tetragonal
Density of states at the Fermi level ... 1.82 states/eV/f.u.
Formation energy without anion corrections ... -831.4 meV per atom
Density ... 9.3 g cm⁻³

=====

# 9
First-principles (GGA-PBE) data for crystalline Pa2ZnSnN5 at its relaxed geometry, as listed in Alexandria via LeMat-Bulk.

Cell lengths 3.3671, 13.5596, 10.1295 Å; angles 90.00, 90.00, 90.00 degrees
Space group Cmc2_1 (No. 36)
Unique sites:
Pa 0.0000 0.1069 0.0000 (multiplicity 4)
Pa 0.0000 0.1343 0.6084 (multiplicity 4)
Zn 0.0000 0.4864 0.7896 (multiplicity 4)
Sn 0.0000 0.2022 0.3158 (multiplicity 4)
N 0.0000 0.0489 0.3818 (multiplicity 4)
N 0.0000 0.2886 0.9845 (multiplicity 4)
N 0.0000 0.3025 0.6750 (multiplicity 4)
N 0.0000 0.3602 0.3357 (multiplicity 4)
N 0.0000 0.4925 0.0940 (multiplicity 4)

Summary:
Crystal system ... orthorhombic
Density of states at the Fermi level ... 3.93 states/eV/f.u.
Formation energy without anion corrections ... -662.6 meV per atom
Density ... 10.3 g cm⁻³

=====

# 10
First-principles (GGA-PBE) data for crystalline PaZnSn2N at its relaxed geometry, as listed in Alexandria via LeMat-Bulk.

Cell lengths 3.9054, 3.9054, 15.2732 Å; angles 90.00, 90.00, 90.00 degrees
Space group P4/nmm (No. 129, origin choice 2)
Unique sites:
Pa 0.2500 0.2500 0.0769 (multiplicity 2)
Zn 0.2500 0.2500 0.6213 (multiplicity 2)
Sn 0.2500 0.2500 0.4377 (multiplicity 2)
Sn 0.2500 0.2500 0.7924 (multiplicity 2)
N 0.2500 0.7500 0.0000 (multiplicity 2)

Summary:
Crystal system ... tetragonal
Density of states at the Fermi level ... 3.40 states/eV/f.u.
Formation energy without anion corrections ... -581.6 meV per atom
Density ... 7.8 g cm⁻³

=====

# 11
First-principles (GGA-PBE) data for crystalline Sr2Pa2N5 at its relaxed geometry, as listed in Alexandria via LeMat-Bulk.

Cell lengths 12.5342, 6.6747, 6.6562 Å; angles 90.00, 90.00, 90.00 degrees
Space group Cmce (No. 64)
Unique sites:
Sr 0.2090 0.0000 0.0000 (multiplicity 8)
Pa 0.0000 0.1682 0.3383 (multiplicity 8)
N 0.0000 0.0000 0.0000 (multiplicity 4)
N 0.1139 0.1608 0.6549 (multiplicity 16)

Summary:
Crystal system ... orthorhombic
Density of states at the Fermi level ... 4.40 states/eV/f.u.
Formation energy without anion corrections ... -1162.6 meV per atom
Density ... 8.4 g cm⁻³

=====

# 12
First-principles (GGA-PBE) data for crystalline SrPa7N12 at its relaxed geometry, as listed in Alexandria via LeMat-Bulk.

Cell lengths 8.5708, 8.5708, 8.5708 Å; angles 90.00, 90.00, 90.00 degrees
Space group Im-3 (No. 204)
Unique sites:
Sr 0.0000 0.0000 0.0000 (multiplicity 2)
Pa 0.0000 0.0000 0.5000 (multiplicity 6)
Pa 0.2500 0.2500 0.2500 (multiplicity 8)
N 0.0000 0.1854 0.3159 (multiplicity 24)

Summary:
Crystal system ... cubic
Density of states at the Fermi level ... 10.45 states/eV/f.u.
Formation energy without anion corrections ... -1524.1 meV per atom
Density ... 9.9 g cm⁻³

=====

# 13
First-principles (GGA-PBE) data for crystalline SrPa3N6 at its relaxed geometry, as listed in Alexandria via LeMat-Bulk.

Cell lengths 9.4437, 3.5947, 10.7560 Å; angles 90.00, 106.17, 90.00 degrees
Space group P2_1/m (No. 11)
Unique sites:
Sr 0.1644 0.2500 0.4569 (multiplicity 2)
Pa 0.1736 0.7500 0.0660 (multiplicity 2)
Pa 0.2094 0.2500 0.7831 (multiplicity 2)
Pa 0.4808 0.2500 0.3499 (multiplicity 2)
N 0.0661 0.2500 0.9307 (multiplicity 2)
N 0.1169 0.7500 0.6484 (multiplicity 2)
N 0.2660 0.2500 0.1892 (multiplicity 2)
N 0.2831 0.7500 0.9101 (multiplicity 2)
N 0.3772 0.7500 0.4416 (multiplicity 2)
N 0.4028 0.2500 0.6955 (multiplicity 2)

Summary:
Crystal system ... monoclinic
Density of states at the Fermi level ... 6.84 states/eV/f.u.
Formation energy without anion corrections ... -1359.1 meV per atom
Density ... 8.2 g cm⁻³

=====

# 14
First-principles (GGA-PBE) data for crystalline Sr5PaN6 at its relaxed geometry, as listed in Alexandria via LeMat-Bulk.

Cell lengths 6.4849, 11.1928, 6.4276 Å; angles 90.00, 110.12, 90.00 degrees
Space group C2/m (No. 12)
Unique sites:
Sr 0.0000 0.0000 0.0000 (multiplicity 2)
Sr 0.0000 0.1666 0.5000 (multiplicity 4)
Sr 0.0000 0.3357 0.0000 (multiplicity 4)
Pa 0.0000 0.5000 0.5000 (multiplicity 2)
N 0.2124 0.5000 0.2808 (multiplicity 4)
N 0.2183 0.3568 0.7236 (multiplicity 8)

Summary:
Crystal system ... monoclinic
Density of states at the Fermi level ... 11.27 states/eV/f.u.
Formation energy without anion corrections ... -724.8 meV per atom
Density ... 5.7 g cm⁻³

=====

# 15
First-principles (GGA-PBE) data for crystalline Sr3PaN4 at its relaxed geometry, as listed in Alexandria via LeMat-Bulk.

Cell lengths 7.5484, 7.5484, 9.1190 Å; angles 90.00, 90.00, 120.00 degrees
Space group R3m (No. 160, hexagonal axes)
Unique sites:
Sr 0.0013 0.5006 0.0000 (multiplicity 9)
Pa 0.0000 0.0000 0.0193 (multiplicity 3)
N 0.0000 0.0000 0.5032 (multiplicity 3)
N 0.1943 0.3887 0.8014 (multiplicity 9)

Summary:
Crystal system ... trigonal
Density of states at the Fermi level ... 5.97 states/eV/f.u.
Formation energy without anion corrections ... -860.5 meV per atom
Polymorph energy (0 for the lowest one) ... 1.089 eV per formula unit
Density ... 6.1 g cm⁻³

=====

# 16
First-principles (GGA-PBE) data for crystalline Sr5PaN4 at its relaxed geometry, as listed in Alexandria via LeMat-Bulk.

Cell lengths 17.6393, 3.7153, 7.6517 Å; angles 90.00, 102.39, 90.00 degrees
Space group C2/m (No. 12)
Unique sites:
Sr 0.0000 0.0000 0.0000 (multiplicity 2)
Sr 0.1520 0.5000 0.3517 (multiplicity 4)
Sr 0.1540 0.5000 0.7982 (multiplicity 4)
Pa 0.0000 0.0000 0.5000 (multiplicity 2)
N 0.9996 0.5000 0.2909 (multiplicity 4)
N 0.1299 0.0000 0.5614 (multiplicity 4)

Summary:
Crystal system ... monoclinic
Density of states at the Fermi level ... 3.03 states/eV/f.u.
Formation energy without anion corrections ... -875.5 meV per atom
Density ... 4.9 g cm⁻³

=====

# 17
First-principles (GGA-PBE) data for crystalline Sr2PaN3 at its relaxed geometry, as listed in Alexandria via LeMat-Bulk.

Cell lengths 7.3741, 10.4164, 21.9363 Å; angles 90.00, 90.00, 90.00 degrees
Space group Fddd (No. 70, origin choice 2)
Unique sites:
Sr 0.1250 0.1250 0.0424 (multiplicity 16)
Sr 0.1250 0.1250 0.3747 (multiplicity 16)
Pa 0.1250 0.1250 0.5414 (multiplicity 16)
N 0.0767 0.3750 0.8750 (multiplicity 16)
N 0.1036 0.3515 0.7183 (multiplicity 32)

Summary:
Crystal system ... orthorhombic
Formation energy without anion corrections ... -1283.8 meV per atom
Density ... 7.1 g cm⁻³

=====

# 18
First-principles (GGA-PBE) data for crystalline Sr3PaN4 at its relaxed geometry, as listed in Alexandria via LeMat-Bulk.

Cell lengths 10.4149, 5.3089, 5.3095 Å; angles 90.00, 90.00, 90.00 degrees
Space group Pmn2_1 (No. 31)
Unique sites:
Sr 0.0000 0.2445 0.0000 (multiplicity 2)
Sr 0.2501 0.2506 0.4960 (multiplicity 4)
Pa 0.0000 0.7269 0.5184 (multiplicity 2)
N 0.0000 0.3071 0.4975 (multiplicity 2)
N 0.0000 0.7448 0.9382 (multiplicity 2)
N 0.2014 0.7557 0.4894 (multiplicity 4)

Summary:
Crystal system ... orthorhombic
Density of states at the Fermi level ... 3.00 states/eV/f.u.
Formation energy without anion corrections ... -996.6 meV per atom
Polymorph energy (0 for the lowest one) ... 0.000 eV per formula unit
Density ... 6.2 g cm⁻³

=====

# 19
First-principles (GGA-PBE) data for crystalline Sr5PaN5 at its relaxed geometry, as listed in Alexandria via LeMat-Bulk.

Cell lengths 11.9757, 5.2390, 7.3914 Å; angles 90.00, 108.69, 90.00 degrees
Space group C2/m (No. 12)
Unique sites:
Sr 0.0000 0.0000 0.0000 (multiplicity 2)
Sr 0.1739 0.5000 0.3510 (multiplicity 4)
Sr 0.1835 0.5000 0.8162 (multiplicity 4)
Pa 0.0000 0.0000 0.5000 (multiplicity 2)
N 0.0000 0.5000 0.5000 (multiplicity 2)
N 0.1432 0.0000 0.3470 (multiplicity 4)
N 0.1448 0.0000 0.7945 (multiplicity 4)

Summary:
Crystal system ... monoclinic
Density of states at the Fermi level ... 7.08 states/eV/f.u.
Formation energy without anion corrections ... -860.7 meV per atom
Density ... 5.6 g cm⁻³

=====

# 20
First-principles (GGA-PBE) data for crystalline SrPaN2 at its relaxed geometry, as listed in Alexandria via LeMat-Bulk.

Cell lengths 3.6083, 3.6083, 18.6904 Å; angles 90.00, 90.00, 120.00 degrees
Space group R3m (No. 160, hexagonal axes)
Unique sites:
Sr 0.0000 0.0000 0.0000 (multiplicity 3)
Pa 0.0000 0.0000 0.1762 (multiplicity 3)
N 0.0000 0.0000 0.5692 (multiplicity 3)
N 0.0000 0.0000 0.7819 (multiplicity 3)

Summary:
Crystal system ... trigonal
Density of states at the Fermi level ... 1.07 states/eV/f.u.
Formation energy without anion corrections ... -1216.1 meV per atom
Density ... 8.2 g cm⁻³

=====

no.,total magnetization (μB per atom)
1,0.000
2,0.000
3,0.000
4,0.000
5,0.105
6,0.000
7,0.000
8,0.000
9,0.033
10,0.000
11,0.060
12,0.055
13,0.000
14,0.257
15,0.105
16,0.000
17,0.000
18,0.128
19,0.014
20,0.250